# 1
Material: SrTa2Cr
Method: DFT, GGA-PBE
State: optimized geometry

Lattice parameters (Å, degrees): 5.646 10.276 2.878 90.00 90.00 90.00
Space group Cmmm (No. 65)
Inequivalent atoms, fractional coordinates:
Sr: 0.000 0.000 0.000
Ta: 0.250 0.250 0.500
Cr: 0.000 0.500 0.000

Calculated values
Its energy of formation is 1088 meV/atom. For the relative energy among the computed polymorphs, the calculation gives 499 meV/atom. Its total DFT energy (no corrections) is -61.31 eV per cell.

# 2
Material: SnO
Method: DFT, GGA-PBE
State: optimized geometry

Lattice parameters (Å, degrees): 10.734 10.734 3.330 90.00 90.00 90.00
Space group I4/m (No. 87)
Inequivalent atoms, fractional coordinates:
Sn: 0.046 0.274 0.000
O: 0.123 0.376 0.500

Calculated values
Its total DFT energy (no corrections) is -91.16 eV per cell.

# 3
Material: NbRe2Au
Method: DFT, GGA-PBE
State: optimized geometry

Lattice parameters (Å, degrees): 6.405 6.405 6.405 90.00 90.00 90.00
Space group Fm-3m (No. 225)
Inequivalent atoms, fractional coordinates:
Nb: 0.000 0.000 0.000
Re: 0.250 0.250 0.250
Au: 0.000 0.000 0.500

Calculated values
Its energy of formation is 451 meV/atom. For the relative energy among the computed polymorphs, the calculation gives 0 meV/atom. Its total DFT energy (no corrections) is -145.76 eV per cell.

# 4
Material: Ta3Nb7Al2
Method: DFT, GGA-PBE
State: optimized geometry

Lattice parameters (Å, degrees): 4.661 22.282 4.506 90.00 90.00 90.00
Space group Cmmm (No. 65)
Inequivalent atoms, fractional coordinates:
Ta: 0.000 0.000 0.000
Ta: 0.000 0.150 0.000
Nb: 0.000 0.079 0.500
Nb: 0.000 0.227 0.500
Nb: 0.000 0.428 0.000
Nb: 0.000 0.500 0.500
Al: 0.000 0.351 0.500

Calculated values
Its energy of formation is 307 meV/atom. Its total DFT energy (no corrections) is -219.70 eV per cell.

# 5
Material: Tb2Ho3Cd4
Method: DFT, GGA-PBE
State: optimized geometry

Lattice parameters (Å, degrees): 6.710 18.594 8.073 90.00 90.00 90.00
Space group Cmce (No. 64)
Inequivalent atoms, fractional coordinates:
Tb: 0.000 0.092 0.100
Ho: 0.000 0.000 0.500
Ho: 0.250 0.245 0.750
Cd: 0.000 0.161 0.481
Cd: 0.250 0.075 0.750

Calculated values
Its energy of formation is -146 meV/atom. Its total DFT energy (no corrections) is -111.86 eV per cell.

# 6
Material: Ca2TlCoCl
Method: DFT, GGA-PBE
State: optimized geometry

Lattice parameters (Å, degrees): 5.729 5.729 4.108 90.00 90.00 90.00
Space group P4/mmm (No. 123)
Inequivalent atoms, fractional coordinates:
Ca: 0.000 0.500 0.000
Tl: 0.000 0.000 0.500
Co: 0.500 0.500 0.000
Cl: 0.500 0.500 0.500

Calculated values
Its total DFT energy (no corrections) is -16.07 eV per cell.

# 7
Material: K5Rb2Ag
Method: DFT, GGA-PBE
State: optimized geometry

Lattice parameters (Å, degrees): 9.032 9.080 9.084 94.03 117.21 117.20
Space group P1 (No. 1)
Inequivalent atoms, fractional coordinates:
K: 0.000 0.000 0.000
K: 0.001 0.505 0.498
K: 0.035 0.505 0.002
K: 0.603 0.623 0.119
K: 0.611 0.985 0.481
Rb: 0.432 0.399 0.546
Rb: 0.434 0.051 0.897
Ag: 0.140 0.271 0.768

Calculated values
Its energy of formation is 56 meV/atom. Its total DFT energy (no corrections) is -9.83 eV per cell.

# 8
Material: La2InCo
Method: DFT, GGA-PBE
State: optimized geometry

Lattice parameters (Å, degrees): 3.9722 3.9722 25.3422 90.00 90.00 120.00
Space group R-3m (No. 166, hexagonal axes)
Inequivalent atoms, fractional coordinates:
La: 0.0000 0.0000 0.2295
In: 0.0000 0.0000 0.0000
Co: 0.0000 0.0000 0.5000

Calculated values
Its energy of formation is -180 meV/atom. Its total DFT energy (no corrections) is -61.26 eV per cell.

# 9
Material: RbErO2
Method: DFT, GGA-PBE
State: optimized geometry

Lattice parameters (Å, degrees): 3.4739 3.4739 19.6424 90.00 90.00 120.00
Space group R-3m (No. 166, hexagonal axes)
Inequivalent atoms, fractional coordinates:
Rb: 0.0000 0.0000 0.0000
Er: 0.0000 0.0000 0.5000
O: 0.0000 0.0000 0.2246

Calculated values
Its total DFT energy (no corrections) is -79.04 eV per cell.

# 10
Material: BeCO2
Method: DFT, GGA-PBE
State: optimized geometry

Lattice parameters (Å, degrees): 2.3679 2.3679 20.0906 90.00 90.00 120.00
Space group R-3m (No. 166, hexagonal axes)
Inequivalent atoms, fractional coordinates:
Be: 0.0000 0.0000 0.0000
C: 0.0000 0.0000 0.5000
O: 0.0000 0.0000 0.1222

Calculated values
For the relative energy among the computed polymorphs, the calculation gives 1026 meV/atom. Its total DFT energy (no corrections) is -61.50 eV per cell.

# 11
Material: HfZr3Ru4
Method: DFT, GGA-PBE
State: optimized geometry

Lattice parameters (Å, degrees): 3.259 4.629 9.260 90.00 90.00 90.00
Space group Pmmm (No. 47)
Inequivalent atoms, fractional coordinates:
Hf: 0.000 0.000 0.000
Zr: 0.000 0.000 0.500
Zr: 0.000 0.500 0.249
Ru: 0.500 0.000 0.248
Ru: 0.500 0.500 0.000
Ru: 0.500 0.500 0.500

Calculated values
Its energy of formation is -684 meV/atom. Its total DFT energy (no corrections) is -78.18 eV per cell.

# 12
Material: Ga2Au2I
Method: DFT, GGA-PBE
State: optimized geometry

Lattice parameters (Å, degrees): 4.620 4.620 11.288 90.00 90.00 90.00
Space group I4/mmm (No. 139)
Inequivalent atoms, fractional coordinates:
Ga: 0.000 0.500 0.250
Au: 0.000 0.000 0.129
I: 0.000 0.000 0.500

Calculated values
For the relative energy among the computed polymorphs, the calculation gives 0 meV/atom. Its total DFT energy (no corrections) is -29.27 eV per cell.

# 13
Material: Ac3CuAg3
Method: DFT, GGA-PBE
State: optimized geometry

Lattice parameters (Å, degrees): 4.202 4.798 20.398 90.00 90.00 90.00
Space group Imm2 (No. 44)
Inequivalent atoms, fractional coordinates:
Ac: 0.000 0.000 0.000
Ac: 0.000 0.000 0.368
Ac: 0.000 0.500 0.190
Cu: 0.000 0.500 0.754
Ag: 0.000 0.000 0.546
Ag: 0.000 0.000 0.821
Ag: 0.000 0.500 0.626

Calculated values
Its energy of formation is -243 meV/atom. Its total DFT energy (no corrections) is -53.35 eV per cell.

# 14
Material: ZnPPb2
Method: DFT, GGA-PBE
State: optimized geometry

Lattice parameters (Å, degrees): 3.523 3.523 7.713 90.00 90.00 90.00
Space group P4mm (No. 99)
Inequivalent atoms, fractional coordinates:
Zn: 0.000 0.000 0.000
P: 0.500 0.500 0.106
Pb: 0.000 0.000 0.374
Pb: 0.500 0.500 0.730

Calculated values
Its energy of formation is 169 meV/atom. For the relative energy among the computed polymorphs, the calculation gives 86 meV/atom. Its total DFT energy (no corrections) is -13.42 eV per cell.

# 15
Material: ZrMn3
Method: DFT, GGA-PBE
State: optimized geometry

Lattice parameters (Å, degrees): 4.309 4.309 12.203 90.00 90.00 90.00
Space group I4/mmm (No. 139)
Inequivalent atoms, fractional coordinates:
Zr: 0.000 0.000 0.128
Mn: 0.000 0.000 0.381
Mn: 0.000 0.500 0.000
Mn: 0.000 0.500 0.250

Calculated values
Its energy of formation is 137 meV/atom. Its total DFT energy (no corrections) is -142.03 eV per cell.

# 16
Material: Tl2InP
Method: DFT, GGA-PBE
State: optimized geometry

Lattice parameters (Å, degrees): 6.940 6.940 11.297 90.00 90.00 90.00
Space group I-42d (No. 122)
Inequivalent atoms, fractional coordinates:
Tl: 0.212 0.250 0.125
In: 0.000 0.000 0.500
P: 0.000 0.000 0.000

Calculated values
Its energy of formation is 298 meV/atom. For the relative energy among the computed polymorphs, the calculation gives 193 meV/atom. Its total DFT energy (no corrections) is -46.76 eV per cell.

# 17
Material: Na3As5Br12
Method: DFT, GGA-PBE
State: optimized geometry

Lattice parameters (Å, degrees): 18.032 18.032 18.032 90.00 90.00 90.00
Space group Ia-3d (No. 230)
Inequivalent atoms, fractional coordinates:
Na: 0.000 0.250 0.125
As: 0.000 0.000 0.000
As: 0.000 0.250 0.375
Br: 0.030 0.043 0.646

Calculated values
Its total DFT energy (no corrections) is -431.02 eV per cell.

# 18
Material: CdHgAs2P
Method: DFT, GGA-PBE
State: optimized geometry

Lattice parameters (Å, degrees): 5.260 5.260 4.901 90.00 90.00 90.00
Space group P4/mmm (No. 123)
Inequivalent atoms, fractional coordinates:
Cd: 0.000 0.000 0.000
Hg: 0.500 0.500 0.500
As: 0.000 0.500 0.000
P: 0.000 0.000 0.500

Calculated values
Its energy of formation is 1059 meV/atom. Its total DFT energy (no corrections) is -10.63 eV per cell.

# 19
Material: Ac2SmTaO8
Method: DFT, GGA-PBE
State: optimized geometry

Lattice parameters (Å, degrees): 4.393 7.313 5.661 90.00 92.82 90.00
Space group P2/m (No. 10)
Inequivalent atoms, fractional coordinates:
Ac: 0.000 0.247 0.000
Sm: 0.500 0.500 0.500
Ta: 0.500 0.000 0.500
O: 0.037 0.500 0.257
O: 0.056 0.000 0.378
O: 0.467 0.205 0.735

Calculated values
Its total DFT energy (no corrections) is -98.72 eV per cell.

# 20
Material: EuDy
Method: DFT, GGA-PBE
State: optimized geometry

Lattice parameters (Å, degrees): 4.132 4.132 4.132 90.00 90.00 90.00
Space group Pm-3m (No. 221)
Inequivalent atoms, fractional coordinates:
Eu: 0.000 0.000 0.000
Dy: 0.500 0.500 0.500

Calculated values
Its energy of formation is 172 meV/atom. For the relative energy among the computed polymorphs, the calculation gives 65 meV/atom. Its total DFT energy (no corrections) is -14.53 eV per cell.

| no. | DOS(E_F) (states/eV/f.u.) |
| --- | --- |
| 1 | 4.26 |
| 2 | 0.00 |
| 3 | 8.00 |
| 4 | 11.91 |
| 5 | 7.89 |
| 6 | 5.11 |
| 7 | 5.61 |
| 8 | 3.42 |
| 9 | 0.00 |
| 10 | 0.95 |
| 11 | 2.56 |
| 12 | 0.91 |
| 13 | 5.88 |
| 14 | 1.07 |
| 15 | 4.86 |
| 16 | 0.61 |
| 17 | 10.55 |
| 18 | 6.27 |
| 19 | 0.00 |
| 20 | 3.08 |